No. 1
Material: Er2ZrSe4
Method: DFT, PBE
State: relaxed

Values from the calculation:
**Calculated total energy**: -42.9 eV/cell
**E_form (uncorrected)**: -1.6168 eV/atom
**Calculated volume**: 25.84 Å³/atom

Structure (POSCAR):
```
Er2ZrSe4
1.0
3.997 0.000 0.000
0.000 7.096 -0.041
-1.999 -3.500 6.397
Er Zr Se
2 1 4
Cartesian
1.999 3.665 3.056
0.000 -0.070 3.300
0.000 0.000 0.000
1.999 -1.222 4.890
0.000 4.818 1.466
1.999 1.142 1.592
0.000 2.454 4.764
```

---

No. 2
Material: ErZrSe
Method: DFT, PBE
State: relaxed

Values from the calculation:
**Calculated total energy**: -37.1 eV/cell
**E_form (uncorrected)**: -0.6598 eV/atom
**Calculated volume**: 24.31 Å³/atom
**Energy relative to the lowest polymorph listed for this composition**: 0 meV per atom

Structure (POSCAR):
```
ErZrSe
1.0
5.154 0.000 0.000
0.000 3.529 0.000
-2.577 -1.765 8.020
Er Zr Se
2 2 2
Cartesian
2.577 0.000 2.663
0.000 1.765 5.357
3.852 1.765 0.000
1.302 1.765 0.000
0.000 1.765 2.569
2.577 0.000 5.451
```

---

No. 3
Material: ErZrSe3
Method: DFT, PBE
State: relaxed

Values from the calculation:
**Calculated total energy**: -62.5 eV/cell
**E_form (uncorrected)**: -1.5375 eV/atom
**Calculated volume**: 26.72 Å³/atom

Structure (POSCAR):
```
ErZrSe3
1.0
-6.419 1.196 1.354
-1.501 -6.489 -1.381
1.677 1.830 6.333
Er Zr Se
2 2 6
Cartesian
-3.651 -3.118 1.868
-0.441 -3.716 1.191
0.000 0.000 0.000
-3.209 0.598 0.677
-4.758 -0.611 2.614
-5.179 -4.351 3.920
-5.829 -3.495 0.084
-1.486 -2.857 3.688
-2.089 -1.799 -0.105
-2.563 -5.596 1.004
```

---

No. 4
Material: Er3Si5
Method: DFT, PBE
State: relaxed

Values from the calculation:
**Calculated total energy**: -92.1 eV/cell
**E_form (uncorrected)**: -0.6584 eV/atom
**Calculated volume**: 19.48 Å³/atom

Structure (POSCAR):
```
Er3Si5
1.0
5.306 0.000 1.764
2.653 6.650 0.882
0.008 0.000 8.838
Er Si
6 10
Cartesian
6.182 2.570 7.906
4.438 2.570 4.460
7.044 5.895 9.744
3.576 5.895 2.622
5.310 5.961 6.183
2.653 2.636 0.882
4.489 4.803 8.814
6.132 4.803 3.551
3.579 1.478 7.120
1.736 1.478 3.481
3.769 0.522 2.548
1.545 0.522 8.053
1.896 3.847 3.752
3.418 3.847 6.849
5.310 0.083 6.183
5.306 3.408 1.764
```

---

No. 5
Material: Er5Si
Method: DFT, PBE
State: relaxed

Values from the calculation:
**Calculated total energy**: -29.1 eV/cell
**E_form (uncorrected)**: -0.1382 eV/atom
**Calculated volume**: 26.42 Å³/atom

Structure (POSCAR):
```
Er5Si
1.0
-3.826 1.554 -2.292
1.978 -1.100 -4.047
-3.902 -6.067 2.398
Si Er
1 5
Cartesian
0.000 0.000 0.000
-2.881 -4.219 -2.918
0.078 -2.619 -1.906
-0.924 0.227 -3.170
-2.002 -4.548 0.257
-2.868 -1.393 -1.023
```

---

No. 6
Material: Er5Si6
Method: DFT, PBE
State: relaxed

Values from the calculation:
**Calculated total energy**: -63.7 eV/cell
**E_form (uncorrected)**: -0.7608 eV/atom
**Calculated volume**: 20.34 Å³/atom

Structure (POSCAR):
```
Er5Si6
1.0
4.196 0.000 0.000
0.000 3.777 -0.552
0.000 0.130 14.099
Er Si
5 6
Cartesian
2.098 3.111 8.094
2.098 0.797 5.453
0.000 2.351 2.888
0.000 1.557 10.659
0.000 0.000 0.000
2.098 2.056 0.870
2.098 1.852 12.677
0.000 2.783 5.847
0.000 1.125 7.700
2.098 3.526 10.932
2.098 0.382 2.615
```

---

No. 7
Material: Er4Si
Method: DFT, PBE
State: relaxed

Values from the calculation:
**Calculated total energy**: -23.6 eV/cell
**E_form (uncorrected)**: 0.0243 eV/atom
**Calculated volume**: 31.85 Å³/atom

Structure (POSCAR):
```
Er4Si
1.0
-2.907 -4.551 -0.470
4.507 -2.753 -1.219
0.785 -1.045 5.260
Si Er
1 4
Cartesian
1.192 -4.174 1.786
0.000 0.000 0.000
-1.061 -2.798 2.395
2.646 -1.899 2.020
0.800 -3.652 -0.845
```

---

No. 8
Material: Er5Si4
Method: DFT, PBE
State: relaxed

Values from the calculation:
**Calculated total energy**: -205.0 eV/cell
**E_form (uncorrected)**: -0.7496 eV/atom
**Calculated volume**: 22.46 Å³/atom

Structure (POSCAR):
```
Er5Si4
1.0
-2.767 6.309 -2.574
-5.872 -0.607 4.825
7.428 7.322 9.961
Er Si
20 16
Cartesian
-3.233 5.873 0.666
-0.189 10.219 10.940
0.137 5.292 9.020
0.862 4.662 3.799
2.022 7.150 11.547
-1.022 2.804 1.273
-1.349 7.731 3.193
-2.074 8.361 8.413
-6.768 6.359 2.418
3.376 9.736 9.163
3.297 4.438 6.766
-2.328 5.513 6.079
5.556 6.664 9.795
-4.587 3.287 3.050
-4.508 8.585 5.447
1.117 7.510 6.134
-5.744 5.327 5.588
0.350 10.561 7.638
4.532 7.696 6.625
-1.561 2.463 4.575
1.670 12.081 9.919
-1.663 4.365 -1.131
0.237 4.015 6.475
-2.667 5.584 9.163
-2.881 0.942 2.294
0.452 8.658 13.344
-1.449 9.008 5.738
1.455 7.439 3.050
1.187 1.903 2.936
0.701 8.143 9.154
-2.398 11.120 9.277
-1.912 4.880 3.059
-3.958 6.294 3.546
2.792 10.031 6.206
2.747 6.729 8.667
-4.003 2.992 6.006
```

---

No. 9
Material: ErSi4
Method: DFT, PBE
State: relaxed

Values from the calculation:
**Calculated total energy**: -19.2 eV/cell
**E_form (uncorrected)**: 1.4178 eV/atom
**Calculated volume**: 28.28 Å³/atom

Structure (POSCAR):
```
ErSi4
1.0
-2.163 -0.470 -4.716
3.681 -3.432 -1.346
-2.985 -3.892 1.757
Si Er
4 1
Cartesian
0.000 0.000 0.000
-2.574 -2.181 -1.479
0.348 -3.662 0.205
0.759 -1.951 -3.031
-0.733 -3.897 -2.153
```

---

No. 10
Material: Sm3Er3Si4
Method: DFT, PBE
State: relaxed

Values from the calculation:
**Calculated total energy**: -56.6 eV/cell
**E_form (uncorrected)**: -0.7065 eV/atom
**Calculated volume**: 24.12 Å³/atom

Structure (POSCAR):
```
Sm3Er3Si4
1.0
-0.478 -0.944 4.157
6.486 -3.762 -0.109
3.722 6.243 1.845
Sm Er Si
3 3 4
Cartesian
5.763 -2.481 2.312
3.054 0.341 2.641
6.671 1.220 3.257
3.250 -1.880 -0.053
8.341 -0.643 0.812
3.971 4.005 3.579
5.419 0.101 0.645
4.771 2.445 1.103
9.045 2.160 1.529
1.183 0.249 0.192
```

---

No. 11
Material: Sm2ErSi6
Method: DFT, PBE
State: relaxed

Values from the calculation:
**Calculated total energy**: -51.4 eV/cell
**E_form (uncorrected)**: -0.5405 eV/atom
**Calculated volume**: 19.59 Å³/atom

Structure (POSCAR):
```
Sm2ErSi6
1.0
4.014 0.000 0.000
0.000 6.167 -3.560
0.000 0.000 7.121
Sm Er Si
2 1 6
Cartesian
0.000 2.056 3.560
4.014 4.111 0.000
0.000 0.000 7.121
2.007 2.043 1.180
2.007 4.124 2.381
2.007 0.000 4.762
2.007 4.124 4.740
2.007 2.043 -1.180
2.007 6.167 -1.201
```

---

No. 12
Material: SmErSi4
Method: DFT, PBE
State: relaxed

Values from the calculation:
**Calculated total energy**: -134.3 eV/cell
**E_form (uncorrected)**: -0.4347 eV/atom
**Calculated volume**: 20.49 Å³/atom

Structure (POSCAR):
```
SmErSi4
1.0
4.071 0.000 0.000
0.000 8.297 0.000
0.000 0.000 14.558
Sm Er Si
4 4 16
Cartesian
0.000 5.070 5.316
0.000 3.226 9.242
0.000 0.922 1.963
0.000 7.375 12.596
0.000 5.317 1.271
0.000 2.979 13.287
0.000 1.169 6.008
0.000 7.128 8.550
2.036 6.765 2.827
2.036 1.532 11.731
2.036 2.616 4.452
2.036 5.680 10.106
2.036 7.234 0.487
2.036 1.063 14.071
2.036 3.085 6.792
2.036 5.211 7.766
2.036 7.286 6.379
2.036 1.011 8.179
2.036 3.138 0.900
2.036 5.159 13.658
2.036 0.274 4.238
2.036 8.023 10.320
2.036 4.422 3.041
2.036 3.874 11.517
```

---

No. 13
Material: SmErSi
Method: DFT, PBE
State: relaxed

Values from the calculation:
**Calculated total energy**: -32.5 eV/cell
**E_form (uncorrected)**: -0.5186 eV/atom
**Calculated volume**: 26.16 Å³/atom
**Energy relative to the lowest polymorph listed for this composition**: 0 meV per atom

Structure (POSCAR):
```
SmErSi
1.0
4.155 -0.721 -0.067
-1.098 5.942 0.691
-1.956 0.445 6.612
Sm Er Si
2 2 2
Cartesian
-1.373 3.657 3.087
1.106 5.425 5.154
2.223 -0.072 0.813
-1.391 3.212 6.737
0.515 2.045 4.892
0.316 1.094 2.658
```

---

No. 14
Material: SmErSi2
Method: DFT, PBE
State: relaxed

Values from the calculation:
**Calculated total energy**: -22.1 eV/cell
**E_form (uncorrected)**: -0.4981 eV/atom
**Calculated volume**: 23.62 Å³/atom
**Energy relative to the lowest polymorph listed for this composition**: 299 meV per atom

Structure (POSCAR):
```
SmErSi2
1.0
-1.256 0.267 4.420
2.727 -1.736 3.277
2.888 4.047 2.973
Si Sm Er
2 1 1
Cartesian
3.320 2.030 8.012
1.039 0.548 2.659
2.180 1.289 5.335
0.000 0.000 0.000
```

---

No. 15
Material: SmErSi
Method: DFT, PBE
State: relaxed

Values from the calculation:
**Calculated total energy**: -63.2 eV/cell
**E_form (uncorrected)**: -0.3660 eV/atom
**Calculated volume**: 29.10 Å³/atom
**Energy relative to the lowest polymorph listed for this composition**: 153 meV per atom

Structure (POSCAR):
```
SmErSi
1.0
7.343 0.395 0.000
-2.421 6.943 0.000
-2.461 -3.669 6.723
Sm Si Er
4 4 4
Cartesian
3.066 1.933 1.681
-1.836 -0.099 5.042
1.836 0.099 5.042
1.855 5.405 1.681
-3.095 4.736 3.361
5.458 1.659 0.000
0.674 2.208 3.361
-0.537 5.679 0.000
-1.211 3.472 1.597
0.000 0.000 1.765
2.461 3.669 4.958
-1.211 3.472 5.126
```

---

No. 16
Material: SmEr4Si4
Method: DFT, PBE
State: relaxed

Values from the calculation:
**Calculated total energy**: -97.9 eV/cell
**E_form (uncorrected)**: -0.4768 eV/atom
**Calculated volume**: 26.11 Å³/atom

Structure (POSCAR):
```
SmEr4Si4
1.0
-0.248 -2.515 -5.087
3.077 -7.732 3.673
-8.550 -2.595 1.701
Sm Er Si
2 8 8
Cartesian
0.000 0.000 0.000
-2.861 -6.421 0.143
-6.697 -5.935 0.862
-5.575 -9.069 -0.815
1.036 -6.294 0.662
-4.714 -3.081 0.981
-3.008 -10.194 1.244
-0.820 -7.858 3.154
-0.335 -5.676 -2.748
-2.775 -3.260 -2.196
-0.732 -8.552 0.343
-5.049 -4.885 -1.260
-3.506 -8.726 3.736
-6.611 -6.646 -1.984
0.699 -8.116 -1.614
-0.834 -4.225 -0.291
-4.829 -8.021 1.781
-2.026 -2.195 0.434
```

---

No. 17
Material: SmEr2Si
Method: DFT, PBE
State: relaxed

Values from the calculation:
**Calculated total energy**: -19.3 eV/cell
**E_form (uncorrected)**: -0.0040 eV/atom
**Calculated volume**: 29.25 Å³/atom

Structure (POSCAR):
```
SmEr2Si
1.0
-2.267 -2.609 -0.705
0.641 -2.223 -2.663
4.880 -8.148 5.640
Si Sm Er
1 1 2
Cartesian
1.627 -6.490 1.136
0.000 0.000 0.000
3.142 -6.053 3.473
0.112 -6.928 -1.200
```

---

No. 18
Material: Sm3ErSi4
Method: DFT, PBE
State: relaxed

Values from the calculation:
**Calculated total energy**: -44.9 eV/cell
**E_form (uncorrected)**: -0.5672 eV/atom
**Calculated volume**: 25.44 Å³/atom

Structure (POSCAR):
```
Sm3ErSi4
1.0
4.116 0.000 0.000
0.000 6.212 -0.722
-2.058 -2.193 8.213
Sm Er Si
3 1 4
Cartesian
0.000 3.106 -0.361
0.000 0.353 3.043
2.058 3.666 4.448
2.058 0.000 0.000
0.000 1.832 5.675
2.058 2.187 1.816
2.058 4.499 1.547
0.000 -0.480 5.944
```

---

No. 19
Material: SmErSi2
Method: DFT, PBE
State: relaxed

Values from the calculation:
**Calculated total energy**: -23.3 eV/cell
**E_form (uncorrected)**: -0.7975 eV/atom
**Calculated volume**: 22.13 Å³/atom
**Energy relative to the lowest polymorph listed for this composition**: 0 meV per atom

Structure (POSCAR):
```
SmErSi2
1.0
4.321 0.000 -0.029
0.000 3.856 0.000
-2.124 0.000 5.326
Sm Er Si
1 1 2
Cartesian
1.032 0.000 5.233
1.012 1.928 2.257
-1.133 1.928 4.540
-1.145 0.000 2.940
```

---

No. 20
Material: SmEr2Si4
Method: DFT, PBE
State: relaxed

Values from the calculation:
**Calculated total energy**: -40.8 eV/cell
**E_form (uncorrected)**: -0.7556 eV/atom
**Calculated volume**: 20.46 Å³/atom

Structure (POSCAR):
```
SmEr2Si4
1.0
-2.444 0.708 2.920
0.722 -3.876 1.545
7.470 4.717 2.540
Sm Er Si
1 2 4
Cartesian
-1.222 0.354 1.460
3.324 0.400 5.254
2.424 1.149 1.750
1.131 -0.640 3.670
4.617 2.189 3.334
1.250 -1.517 1.414
4.498 3.066 5.590
```

---

No. 21
Material: Sm5ErSi4
Method: DFT, PBE
State: relaxed

Values from the calculation:
**Calculated total energy**: -54.9 eV/cell
**E_form (uncorrected)**: -0.5062 eV/atom
**Calculated volume**: 26.46 Å³/atom

Structure (POSCAR):
```
Sm5ErSi4
1.0
-3.331 -2.857 -2.376
2.720 1.854 -6.043
3.842 -6.370 7.512
Sm Er Si
5 1 4
Cartesian
1.629 -5.390 -1.043
0.256 -6.352 2.037
2.975 -1.021 -2.943
-0.306 -0.501 -4.209
1.603 -1.983 0.137
-1.666 -1.428 -1.188
3.856 -3.396 -1.323
2.495 -7.721 0.545
-0.625 -3.977 0.417
0.737 0.348 -1.452
```

---

No. 22
Material: Sm4ErSi4
Method: DFT, PBE
State: relaxed

Values from the calculation:
**Calculated total energy**: -99.0 eV/cell
**E_form (uncorrected)**: -0.4837 eV/atom
**Calculated volume**: 26.31 Å³/atom

Structure (POSCAR):
```
Sm4ErSi4
1.0
-5.200 2.715 -1.094
-3.384 -3.470 7.476
2.765 7.135 4.563
Sm Er Si
8 2 8
Cartesian
-0.403 6.478 6.102
-4.229 6.103 7.087
-4.015 -0.829 5.138
0.258 3.848 3.934
-4.500 3.467 9.330
-2.279 0.550 7.810
-5.388 2.260 3.059
-2.722 3.645 1.319
0.000 0.000 0.000
-2.910 3.190 5.472
-4.910 1.743 6.661
-2.420 5.426 3.966
-1.651 2.657 9.709
-2.924 7.614 4.976
-6.584 0.692 5.193
-2.430 1.393 3.460
-1.879 4.198 7.802
-0.480 1.797 2.012
```